# InAs (PBE, relaxed)
data_InAs
_symmetry_space_group_name_H-M 'P -3 m 1'
_symmetry_Int_Tables_number 164
_symmetry_space_group_name_Hall '-P 3 2"'
_cell_length_a 5.0837
_cell_length_b 5.0837
_cell_length_c 13.4080
_cell_angle_alpha 90.00
_cell_angle_beta 90.00
_cell_angle_gamma 120.00
loop_
_atom_site_label
_atom_site_type_symbol
_atom_site_fract_x
_atom_site_fract_y
_atom_site_fract_z
In1 In 0.0000 0.0000 0.1102
In2 In 0.3333 0.6667 0.2056
In3 In 0.3333 0.6667 0.4387
As1 As 0.0000 0.0000 0.3314
As2 As 0.3333 0.6667 0.6891
As3 As 0.3333 0.6667 0.8773
# energy: -0.1316 Ha/atom
# DFT formation energy: 0.113 eV/atom